Below is Mg2CdAg at its PBEsol-relaxed geometry, with properties calculated at the SCAN level.

```
4
Lattice="3.220 -3.377 0.000 3.220 3.377 0.000 0.000 0.000 3.491" Properties=species:S:1:pos:R:3 pbc="T T T"
Mg 1.610 1.689 0.000
Mg 1.610 -1.689 0.000
Cd 0.000 0.000 1.745
Ag 3.220 0.000 1.745
```

- Size of the total moment: 0.0 μB/cell
- Calculated total energy: -72.6 eV per cell
- Density: 5.88 g cm⁻³
- Crystal system: orthorhombic
- Formation enthalpy at 0 K: -0.88 eV/f.u.